DFT (PBE) results for a relaxed LiDyFeS3 crystal.

a b c (Å): 12.961 3.773 10.668
angles (deg): 90.00 90.00 90.00
Atoms (fractional coordinates):
1 Dy 0.466 0.250 0.155
2 S 0.605 0.750 0.081
3 Dy 0.034 0.750 0.655
4 Fe 0.980 0.750 0.082
5 S 0.895 0.250 0.581
6 Li 0.778 0.750 0.675
7 Li 0.278 0.750 0.825
8 Fe 0.520 0.250 0.582
9 S 0.417 0.750 0.621
10 Dy 0.966 0.250 0.345
11 S 0.105 0.750 0.419
12 S 0.083 0.250 0.121
13 Li 0.722 0.250 0.175
14 Li 0.222 0.250 0.325
15 S 0.651 0.250 0.730
16 S 0.395 0.250 0.919
17 S 0.349 0.750 0.270
18 S 0.849 0.750 0.230
19 S 0.583 0.250 0.379
20 S 0.917 0.750 0.879
21 Dy 0.534 0.750 0.845
22 Fe 0.480 0.750 0.418
23 S 0.151 0.250 0.770
24 Fe 0.020 0.250 0.918

Its space group is Pnma. For the energy relative to the lowest polymorph listed for this composition, the calculation gives 0.011 eV per atom.

DFT (PBE) results for a relaxed LiDyFeS3 crystal.

a b c (Å): 6.318 6.318 10.450
angles (deg): 90.00 90.00 35.16
Atoms (fractional coordinates):
1 Li 0.233 0.233 0.750
2 Dy 0.000 0.000 0.000
3 S 0.358 0.358 0.418
4 Fe 0.523 0.523 0.750
5 S 0.912 0.912 0.750
6 Dy 0.000 0.000 0.500
7 Fe 0.477 0.477 0.250
8 S 0.642 0.642 0.582
9 Li 0.767 0.767 0.250
10 S 0.642 0.642 0.918
11 S 0.358 0.358 0.082
12 S 0.088 0.088 0.250

Its space group is Cmcm. For the energy relative to the lowest polymorph listed for this composition, the calculation gives 0.071 eV per atom.

DFT (PBE) results for a relaxed LiDyFeSe3 crystal.

a b c (Å): 13.351 3.916 11.040
angles (deg): 90.00 90.00 90.00
Atoms (fractional coordinates):
1 Dy 0.017 0.250 0.340
2 Se 0.382 0.750 0.066
3 Fe 0.990 0.250 0.922
4 Se 0.398 0.250 0.385
5 Li 0.250 0.750 0.626
6 Se 0.102 0.750 0.885
7 Li 0.750 0.250 0.374
8 Fe 0.490 0.250 0.578
9 Se 0.118 0.250 0.566
10 Dy 0.483 0.750 0.840
11 Li 0.750 0.750 0.874
12 Fe 0.510 0.750 0.422
13 Dy 0.983 0.750 0.660
14 Se 0.602 0.750 0.615
15 Se 0.358 0.250 0.732
16 Se 0.882 0.750 0.434
17 Se 0.142 0.750 0.232
18 Se 0.898 0.250 0.115
19 Se 0.858 0.250 0.768
20 Li 0.250 0.250 0.126
21 Dy 0.517 0.250 0.160
22 Se 0.642 0.750 0.268
23 Fe 0.010 0.750 0.078
24 Se 0.618 0.250 0.934

Its space group is Pnma. For the energy relative to the lowest polymorph listed for this composition, the calculation gives 0.012 eV per atom.

DFT (PBE) results for a relaxed LiDyFeSe3 crystal.

a b c (Å): 3.965 6.742 10.755
angles (deg): 90.00 90.00 72.90
Atoms (fractional coordinates):
1 Se 0.644 0.713 0.421
2 Se 0.356 0.287 0.921
3 Fe 0.522 0.955 0.250
4 Se 0.356 0.287 0.579
5 Se 0.908 0.184 0.250
6 Dy 0.000 0.000 0.000
7 Fe 0.478 0.045 0.750
8 Se 0.092 0.816 0.750
9 Dy 0.000 0.000 0.500
10 Li 0.221 0.557 0.250
11 Se 0.644 0.713 0.079
12 Li 0.779 0.443 0.750

Its space group is Cmcm. For the energy relative to the lowest polymorph listed for this composition, the calculation gives 0.062 eV per atom.

DFT (PBE) results for a relaxed LiDyFeSe3 crystal.

a b c (Å): 7.878 3.935 9.535
angles (deg): 90.00 102.04 90.00
Atoms (fractional coordinates):
1 Se 0.906 0.750 0.652
2 Fe 0.431 0.750 0.916
3 Li 0.671 0.250 0.639
4 Se 0.572 0.250 0.343
5 Dy 0.164 0.250 0.658
6 Li 0.329 0.750 0.361
7 Se 0.094 0.250 0.348
8 Fe 0.569 0.250 0.084
9 Se 0.739 0.750 0.030
10 Se 0.261 0.250 0.970
11 Se 0.428 0.750 0.657
12 Dy 0.836 0.750 0.342

Its space group is P2_1/m. For the energy relative to the lowest polymorph listed for this composition, the calculation gives 0.000 eV per atom.

DFT (PBE) results for a relaxed Dy2LuFe9 crystal.

a b c (Å): 8.578 8.578 8.578
angles (deg): 34.07 34.07 34.07
Atoms (fractional coordinates):
1 Fe 0.581 0.581 0.081
2 Fe 0.667 0.667 0.667
3 Fe 0.500 0.500 0.500
4 Lu 0.000 0.000 0.000
5 Fe 0.419 0.419 0.919
6 Fe 0.081 0.581 0.581
7 Dy 0.142 0.142 0.142
8 Fe 0.919 0.419 0.419
9 Fe 0.419 0.919 0.419
10 Fe 0.581 0.081 0.581
11 Fe 0.333 0.333 0.333
12 Dy 0.858 0.858 0.858

Its space group is R-3m. For the formation energy from the elements, the calculation gives -0.99 eV/f.u.